No. 1
DFT (PBE) results for a relaxed structure of Cr2RhPb.

Lattice parameters (Å, degrees): 4.829 4.829 4.884 102.25 102.25 36.22
Fractional coordinates of all 4 atoms:
Cr (0.241, 0.241, 0.161)
Cr (0.759, 0.759, 0.839)
Rh (0.500, 0.500, 0.000)
Pb (0.000, 0.000, 0.500)

Output
uncorrected energy	-7.145	eV per atom
symmetry	C2/m (12)
density of states at the Fermi level	4.076	states/eV/f.u.

***

No. 2
DFT (PBE) results for a relaxed structure of Dy2HoSc3.

Lattice parameters (Å, degrees): 5.949 3.433 16.496 90.00 96.93 90.00
Fractional coordinates of all 12 atoms:
Dy (0.028, 0.250, 0.334)
Dy (0.250, 0.250, 0.000)
Dy (0.750, 0.750, 0.000)
Dy (0.972, 0.750, 0.666)
Ho (0.472, 0.250, 0.667)
Ho (0.528, 0.750, 0.333)
Sc (0.139, 0.750, 0.167)
Sc (0.251, 0.750, 0.500)
Sc (0.361, 0.750, 0.832)
Sc (0.639, 0.250, 0.168)
Sc (0.749, 0.250, 0.500)
Sc (0.861, 0.250, 0.833)

Output
E above lowest polymorph	0	meV/atom
symmetry	P2_1/m (11)
density of states at the Fermi level	9.686	states/eV/f.u.